LiTlCr after structural relaxation. Source: Alexandria, functional GGA-PBEsol.

Cell: 3.1634 3.1634 6.9397 Å, 90.00 90.00 120.00°
Space group P3m1 (No. 156)
Unique sites:
Li 0.0000 0.0000 0.0000 [1 per cell]
Tl 0.3333 0.6667 0.6657 [1 per cell]
Cr 0.6667 0.3333 0.3317 [1 per cell]

Properties
ρ: 7.3 Mg/m³
offset from the most stable computed form: 188 meV/atom
raw total energy: -4.381 eV/atom
formation energy: 0.56 eV/atom